1.
Li4SmPd2 | PBE | relaxed

Unit cell a=8.609 b=8.609 c=4.061 alpha=90.00 beta=90.00 gamma=154.24
Element x y z (fractional)
1 Li 0.176 0.824 0.000
2 Li 0.315 0.685 0.500
3 Li 0.685 0.315 0.500
4 Li 0.824 0.176 0.000
5 Sm 0.500 0.500 0.000
6 Pd 0.080 0.920 0.500
7 Pd 0.920 0.080 0.500

Values from the calculation:
ΔE_f: -0.397 eV/atom



2.
Li2SmPd4 | PBE | relaxed

Unit cell a=5.466 b=5.466 c=5.466 alpha=123.34 beta=105.46 gamma=100.59
Element x y z (fractional)
1 Li 0.000 0.246 0.246
2 Li 0.000 0.754 0.754
3 Sm 0.500 0.000 0.500
4 Pd 0.099 0.303 0.796
5 Pd 0.494 0.697 0.796
6 Pd 0.506 0.303 0.204
7 Pd 0.901 0.697 0.204

Values from the calculation:
ΔE_f: -0.541 eV/atom



3.
LiSmPd3 | PBE | relaxed

Unit cell a=6.138 b=6.138 c=5.361 alpha=90.00 beta=90.00 gamma=120.00
Element x y z (fractional)
1 Li 0.000 0.000 0.000
2 Li 0.000 0.000 0.500
3 Sm 0.333 0.667 0.250
4 Sm 0.667 0.333 0.750
5 Pd 0.184 0.368 0.750
6 Pd 0.184 0.816 0.750
7 Pd 0.368 0.184 0.250
8 Pd 0.632 0.816 0.750
9 Pd 0.816 0.184 0.250
10 Pd 0.816 0.632 0.250

Values from the calculation:
ΔE_f: -0.590 eV/atom



- Which formula does entry 1 have?
  Li4SmPd2